Record 1
# CoAsPt2

A relaxed structure of CoAsPt2 (PBE, Alexandria via LeMat-Bulk).

Output
space group: Cm (8)
energy relative to the elements: -0.002 eV/atom

a = 9.2802 Å, b = 2.9046 Å, c = 4.6262 Å
α = 90.00°, β = 109.18°, γ = 90.00°
Atoms (fractional coordinates):
Co 0.0000 0.0000 0.0000
Co 0.5000 0.5000 0.0000
As 0.2094 0.5000 0.2981
As 0.7094 0.0000 0.2981
Pt 0.2465 0.0000 0.8186
Pt 0.4612 0.0000 0.4836
Pt 0.7465 0.5000 0.8186
Pt 0.9612 0.5000 0.4836

=====

Record 2
# Li3In8

A relaxed structure of Li3In8 (PBE, Alexandria via LeMat-Bulk).

Output
space group: Pm-3m (221)
energy relative to the elements: -0.063 eV/atom
polymorph energy (0 for the lowest one): 1.75 kcal/mol of atoms

a = 6.4399 Å, b = 6.4399 Å, c = 6.4399 Å
α = 90.00°, β = 90.00°, γ = 90.00°
Atoms (fractional coordinates):
Li 0.0000 0.0000 0.5000
Li 0.0000 0.5000 0.0000
Li 0.5000 0.0000 0.0000
In 0.2578 0.2578 0.2578
In 0.2578 0.2578 0.7422
In 0.2578 0.7422 0.2578
In 0.2578 0.7422 0.7422
In 0.7422 0.2578 0.2578
In 0.7422 0.2578 0.7422
In 0.7422 0.7422 0.2578
In 0.7422 0.7422 0.7422

=====

Record 3
# K4Pm3SbO8

A relaxed structure of K4Pm3SbO8 (PBE, Alexandria via LeMat-Bulk).

Output
space group: R-3m (166)
formation energy from raw total energies: -53.13 kcal/mol of atoms

a = 7.5332 Å, b = 7.5332 Å, c = 7.5332 Å
α = 56.94°, β = 56.94°, γ = 56.94°
Atoms (fractional coordinates):
K 0.0000 0.0000 0.0000
K 0.0000 0.5000 0.5000
K 0.5000 0.0000 0.5000
K 0.5000 0.5000 0.0000
Pm 0.0000 0.0000 0.5000
Pm 0.0000 0.5000 0.0000
Pm 0.5000 0.0000 0.0000
Sb 0.5000 0.5000 0.5000
O 0.2298 0.2298 0.2298
O 0.2310 0.7305 0.7305
O 0.2695 0.2695 0.7690
O 0.2695 0.7690 0.2695
O 0.7305 0.2310 0.7305
O 0.7305 0.7305 0.2310
O 0.7690 0.2695 0.2695
O 0.7702 0.7702 0.7702

=====

| no. | mass density (Mg/m³) | V (Å³/cell) | VASP energy (eV per cell) |
| --- | --- | --- | --- |
| 1 | 14.78 | 118 | -47.69 |
| 2 | 5.84 | 267 | -28.35 |
| 3 | 4.97 | 281 | -99.30 |